# LaMg2Zr

An optimized crystal structure of LaMg2Zr (GGA-PBE, Alexandria).

Results
- D(E_F): 4.9 states/eV/f.u.
- Size of the total moment: 0.0 Bohr magnetons per cell
- Energy relative to the lowest polymorph listed for this composition: 128 meV/atom
- Volume: 26.0 A^3/atom
- Final energy: -16.0 eV/cell
- E_form: 162 meV/atom

Cell: 5.8380 5.8380 5.8380 Å, 133.12 133.12 68.47°
Closest atoms and distances in Å follow each position.
Fractional coordinates of all 4 atoms:
1 La 0.7500 0.2500 0.5000  8 Mg 3.28-3.35, 4 Zr 3.35
2 Mg 0.0000 0.0000 0.0000  4 Zr 3.28, 4 La 3.35, 4 Mg 3.35
3 Mg 0.2500 0.7500 0.5000  4 La 3.28, 4 Zr 3.35, 4 Mg 3.35
4 Zr 0.5000 0.5000 0.0000  8 Mg 3.28-3.35, 4 La 3.35